No. 1
The following is a PBE calculation of a geometry-optimized AcYHo2 structure, from the Alexandria database.

Calculated values
D(E_F)   7.0 states/eV/cell
Calculated total energy   -0.1789 hartree per atom
Formation energy from the elements   0.06 eV per atom
ΔE to the lowest computed polymorph   1.9 meV per atom
SG   P4/mmm

a b c (Å): 5.160 5.171 5.171
angles (deg): 90.00 90.00 90.00
Positions (direct):
Y  0.500  0.000  0.000
Ac  0.500  0.500  0.500
Ho  0.000  0.000  0.500
Ho  0.000  0.500  0.000

No. 2
The following is a PBE calculation of a geometry-optimized AcY2Ho6 structure, from the Alexandria database.

Calculated values
D(E_F)   15.5 states/eV/cell
Calculated total energy   -0.1674 hartree per atom
Formation energy from the elements   0.39 eV per atom
ΔE to the lowest computed polymorph   308.9 meV per atom
SG   R3m

a b c (Å): 6.865 6.865 9.273
angles (deg): 68.28 68.28 60.00
Positions (direct):
Ac  0.334  0.334  0.997
Y  0.752  0.752  0.745
Y  0.576  0.576  0.273
Ho  0.775  0.288  0.650
Ho  0.287  0.775  0.650
Ho  0.288  0.287  0.650
Ho  0.050  0.555  0.346
Ho  0.050  0.050  0.346
Ho  0.555  0.050  0.346

No. 3
The following is a PBE calculation of a geometry-optimized Ac2Y3Ho structure, from the Alexandria database.

Calculated values
D(E_F)   19.2 states/eV/cell
Calculated total energy   -0.1951 hartree per atom
Formation energy from the elements   0.06 eV per atom
SG   C2/m

a b c (Å): 5.246 11.703 8.292
angles (deg): 114.98 108.49 89.98
Positions (direct):
Ac  0.535  0.867  0.070
Ac  0.465  0.133  0.930
Ac  0.210  0.868  0.420
Ac  0.790  0.132  0.580
Y  0.048  0.386  0.095
Y  0.952  0.614  0.905
Y  0.711  0.382  0.421
Y  0.289  0.618  0.579
Y  0.624  0.616  0.248
Y  0.376  0.384  0.752
Ho  0.127  0.134  0.255
Ho  0.873  0.866  0.745

No. 4
The following is a PBE calculation of a geometry-optimized Ac7Y2Ho structure, from the Alexandria database.

Calculated values
D(E_F)   14.8 states/eV/cell
Calculated total energy   -0.1463 hartree per atom
Formation energy from the elements   0.65 eV per atom
SG   Cmmm

a b c (Å): 6.084 9.704 9.704
angles (deg): 62.77 90.00 90.00
Positions (direct):
Ac  0.000  0.237  0.237
Ac  0.000  0.763  0.763
Ac  0.500  0.937  0.305
Ac  0.500  0.063  0.695
Ac  0.500  0.695  0.063
Ac  0.500  0.305  0.937
Ac  0.500  0.500  0.500
Y  0.500  0.297  0.297
Y  0.500  0.703  0.703
Ho  0.000  0.000  0.000

No. 5
The following is a PBE calculation of a geometry-optimized AcYHo2 structure, from the Alexandria database.

Calculated values
D(E_F)   7.5 states/eV/cell
Calculated total energy   -0.1773 hartree per atom
Formation energy from the elements   0.11 eV per atom
ΔE to the lowest computed polymorph   47.1 meV per atom
SG   P4/mmm

a b c (Å): 4.141 4.141 8.199
angles (deg): 90.00 90.00 90.00
Positions (direct):
Y  0.500  0.500  0.000
Ac  0.500  0.500  0.500
Ho  0.000  0.000  0.776
Ho  0.000  0.000  0.224

No. 6
The following is a PBE calculation of a geometry-optimized Ac2YHo structure, from the Alexandria database.

Calculated values
D(E_F)   5.6 states/eV/cell
Calculated total energy   -0.1752 hartree per atom
Formation energy from the elements   0.05 eV per atom
ΔE to the lowest computed polymorph   2.1 meV per atom
SG   P4/mmm

a b c (Å): 3.903 3.903 9.905
angles (deg): 90.00 90.00 90.00
Positions (direct):
Y  0.500  0.500  0.500
Ac  0.000  0.000  0.752
Ac  0.000  0.000  0.248
Ho  0.500  0.500  0.000

No. 7
The following is a PBE calculation of a geometry-optimized AcYHo structure, from the Alexandria database.

Calculated values
D(E_F)   15.9 states/eV/cell
Calculated total energy   -0.1830 hartree per atom
Formation energy from the elements   0.07 eV per atom
ΔE to the lowest computed polymorph   8.3 meV per atom
SG   P2_1/c

a b c (Å): 6.528 6.504 12.022
angles (deg): 90.00 90.00 56.94
Positions (direct):
Ac  0.657  0.262  0.133
Ac  0.343  0.238  0.867
Ac  0.157  0.762  0.367
Ac  0.843  0.738  0.633
Y  0.014  0.922  0.885
Y  0.986  0.578  0.115
Y  0.514  0.422  0.615
Y  0.486  0.078  0.385
Ho  0.340  0.928  0.117
Ho  0.660  0.572  0.883
Ho  0.840  0.428  0.383
Ho  0.160  0.072  0.617

No. 8
The following is a PBE calculation of a geometry-optimized AcY5Ho2 structure, from the Alexandria database.

Calculated values
D(E_F)   50.0 states/eV/cell
Calculated total energy   -0.2087 hartree per atom
Formation energy from the elements   0.02 eV per atom
ΔE to the lowest computed polymorph   0.0 meV per atom
SG   Pbam

a b c (Å): 7.260 11.696 12.516
angles (deg): 90.00 90.00 90.00
Positions (direct):
Ac  0.500  0.500  0.752
Ac  0.500  0.500  0.248
Ac  0.500  0.000  0.251
Ac  0.500  0.000  0.749
Y  0.756  0.250  0.667
Y  0.756  0.750  0.333
Y  0.244  0.250  0.167
Y  0.244  0.750  0.833
Y  0.244  0.750  0.333
Y  0.244  0.250  0.667
Y  0.756  0.750  0.833
Y  0.756  0.250  0.167
Y  0.500  0.251  0.920
Y  0.500  0.749  0.080
Y  0.500  0.249  0.420
Y  0.500  0.751  0.580
Y  0.000  0.251  0.917
Y  0.000  0.749  0.083
Y  0.000  0.249  0.417
Y  0.000  0.751  0.583
Y  0.756  0.000  0.000
Y  0.244  0.500  0.500
Y  0.244  0.000  0.000
Y  0.756  0.500  0.500
Ho  0.000  0.000  0.749
Ho  0.000  0.000  0.251
Ho  0.000  0.500  0.249
Ho  0.000  0.500  0.751
Ho  0.756  0.000  0.500
Ho  0.244  0.500  0.000
Ho  0.244  0.000  0.500
Ho  0.756  0.500  0.000